1 | Entry from the Alexandria database: SbTe2AsSe after structural relaxation (GGA-PBEsol).

Values from the calculation:
Crystal system: tetragonal

a = 5.421 Å, b = 5.231 Å, c = 5.231 Å
α = 90.00°, β = 90.00°, γ = 90.00°
Sites, in units of the cell vectors:
Sb (0.500, 0.000, 0.000)
As (0.000, 0.000, 0.000)
Te (0.000, 0.000, 0.500)
Te (0.000, 0.500, 0.000)
Se (0.500, 0.500, 0.500)

2 | Entry from the Alexandria database: SbTe2AsSe after structural relaxation (GGA-PBEsol).

Values from the calculation:
Crystal system: tetragonal

a = 5.367 Å, b = 5.367 Å, c = 5.251 Å
α = 90.00°, β = 90.00°, γ = 90.00°
Sites, in units of the cell vectors:
Sb (0.000, 0.000, 0.500)
As (0.500, 0.500, 0.500)
Te (0.000, 0.500, 0.000)
Te (0.500, 0.000, 0.000)
Se (0.000, 0.000, 0.000)

Most stable: 1 (next structure +116 meV/atom)

1 | Entry from the Alexandria database: Si2SbAs after structural relaxation (GGA-PBEsol).

Values from the calculation:
Crystal system: tetragonal

a = 3.203 Å, b = 3.203 Å, c = 7.226 Å
α = 90.00°, β = 90.00°, γ = 90.00°
Sites, in units of the cell vectors:
Sb (0.500, 0.500, 0.765)
As (0.000, 0.000, 0.441)
Si (0.000, 0.000, 0.061)
Si (0.500, 0.500, 0.234)

2 | Entry from the Alexandria database: Si2SbAs after structural relaxation (GGA-PBEsol).

Values from the calculation:
Crystal system: monoclinic

a = 3.783 Å, b = 3.806 Å, c = 6.630 Å
α = 106.36°, β = 90.00°, γ = 119.80°
Sites, in units of the cell vectors:
Sb (0.000, 0.000, 0.500)
As (0.500, 0.000, 0.000)
Si (0.757, 0.514, 0.770)
Si (0.243, 0.486, 0.230)

Most stable: 2 (next structure +170 meV/atom)

1 | Entry from the Alexandria database: SrSb3As after structural relaxation (GGA-PBEsol).

Values from the calculation:
Crystal system: cubic

a = 5.785 Å, b = 5.785 Å, c = 5.785 Å
α = 90.00°, β = 90.00°, γ = 90.00°
Sites, in units of the cell vectors:
Sb (0.000, 0.500, 0.000)
Sb (0.000, 0.000, 0.500)
Sb (0.500, 0.000, 0.000)
As (0.500, 0.500, 0.500)
Sr (0.000, 0.000, 0.000)

2 | Entry from the Alexandria database: SrSb3As after structural relaxation (GGA-PBEsol).

Values from the calculation:
Crystal system: cubic

a = 5.408 Å, b = 5.408 Å, c = 5.408 Å
α = 90.00°, β = 90.00°, γ = 90.00°
Sites, in units of the cell vectors:
Sb (0.000, 0.500, 0.000)
Sb (0.000, 0.000, 0.500)
Sb (0.500, 0.000, 0.000)
As (0.000, 0.000, 0.000)
Sr (0.500, 0.500, 0.500)

Most stable: 2 (next structure +1227 meV/atom)

1 | Entry from the Alexandria database: TlSb2As after structural relaxation (GGA-PBEsol).

Values from the calculation:
Crystal system: orthorhombic

a = 3.348 Å, b = 3.348 Å, c = 9.264 Å
α = 90.00°, β = 90.00°, γ = 102.19°
Sites, in units of the cell vectors:
Sb (0.000, 0.000, 0.028)
Sb (0.500, 0.500, 0.761)
Tl (0.000, 0.000, 0.482)
As (0.500, 0.500, 0.229)

2 | Entry from the Alexandria database: TlSb2As after structural relaxation (GGA-PBEsol).

Values from the calculation:
Crystal system: monoclinic

a = 3.730 Å, b = 5.575 Å, c = 5.784 Å
α = 110.54°, β = 108.81°, γ = 90.00°
Sites, in units of the cell vectors:
Sb (0.213, 0.174, 0.426)
Sb (0.787, 0.826, 0.574)
Tl (0.000, 0.500, 0.000)
As (0.500, 0.000, 0.000)

Most stable: 2 (next structure +85 meV/atom)

1 | Entry from the Alexandria database: TlSb2As after structural relaxation (GGA-PBEsol).

Values from the calculation:
Crystal system: cubic

a = 5.165 Å, b = 5.165 Å, c = 5.165 Å
α = 60.00°, β = 60.00°, γ = 60.00°
Sites, in units of the cell vectors:
Sb (0.250, 0.250, 0.250)
Sb (0.750, 0.750, 0.750)
Tl (0.500, 0.500, 0.500)
As (0.000, 0.000, 0.000)

2 | Entry from the Alexandria database: TlSb2As after structural relaxation (GGA-PBEsol).

Values from the calculation:
Crystal system: orthorhombic

a = 3.660 Å, b = 5.340 Å, c = 6.104 Å
α = 115.94°, β = 107.45°, γ = 90.00°
Sites, in units of the cell vectors:
Sb (0.713, 0.713, 0.426)
Sb (0.287, 0.287, 0.574)
Tl (0.500, 0.000, 0.000)
As (0.000, 0.500, 0.000)

Most stable: 2 (next structure +133 meV/atom)

1 | Entry from the Alexandria database: TlSb2As after structural relaxation (GGA-PBEsol).

Values from the calculation:
Crystal system: tetragonal

a = 3.434 Å, b = 3.434 Å, c = 8.731 Å
α = 90.00°, β = 90.00°, γ = 90.00°
Sites, in units of the cell vectors:
Sb (0.000, 0.000, 0.956)
Sb (0.500, 0.500, 0.239)
Tl (0.000, 0.000, 0.518)
As (0.500, 0.500, 0.788)

2 | Entry from the Alexandria database: TlSb2As after structural relaxation (GGA-PBEsol).

Values from the calculation:
Crystal system: cubic

a = 5.173 Å, b = 5.173 Å, c = 5.173 Å
α = 60.00°, β = 60.00°, γ = 60.00°
Sites, in units of the cell vectors:
Sb (0.000, 0.000, 0.000)
Sb (0.750, 0.750, 0.750)
Tl (0.250, 0.250, 0.250)
As (0.500, 0.500, 0.500)

Most stable: 1 (next structure +60 meV/atom)